Entry from the Alexandria database: crystalline Ca3MoF at its relaxed geometry (PBE+U).

Cell lengths 5.107, 5.107, 5.107 Å; angles 90.00, 90.00, 90.00 degrees
Site moments in Bohr magnetons follow the coordinates.
Sites, in units of the cell vectors:
Ca (0.000, 0.000, 0.500)  0.02
F (0.000, 0.000, 0.000)  0.00
Ca (0.500, 0.000, 0.000)  -0.02
Ca (0.000, 0.500, 0.000)  0.01
Mo (0.500, 0.500, 0.500)  3.74

Values from the calculation:
The symmetry is No. 221. Its density is 2.9 g/cm³. The polymorph energy (0 for the lowest one) comes out at 0 kJ/mol of formula units. The calculation puts the density of states at the Fermi level at 2.25 states/eV/cell. The calculated total energy is -3.679 eV per atom.